1.
{
  "formula": "Tm2Ga3Co2",
  "functional": "PBE",
  "state": "relaxed",
  "cell": [[-0.342, 3.153, 2.400], [-3.130, -3.960, 1.461], [6.437, -0.848, 2.030]],
  "species": ["Ga", "Ga", "Ga", "Co", "Co", "Tm", "Tm"],
  "frac_coords": [[0.639, 0.277, 0.447], [0.500, 0.000, 0.000], [0.361, 0.723, 0.553], [0.131, 0.263, 0.198], [0.869, 0.737, 0.802], [0.854, 0.709, 0.224], [0.146, 0.291, 0.776]],
  "vol_a3_per_atom": 17.1
}

=====

2.
{
  "formula": "Ta2CrIr",
  "functional": "PBE",
  "state": "relaxed",
  "cell": [[4.503, 0.011, -0.080], [3.566, 2.750, -0.080], [0.812, 0.278, 5.207]],
  "species": ["Ir", "Cr", "Ta", "Ta"],
  "frac_coords": [[0.250, 0.250, 0.250], [0.750, 0.750, 0.750], [0.001, 0.001, 0.991], [0.499, 0.499, 0.509]],
  "vol_a3_per_atom": 16.1
}

=====

no.,E_form (meV/atom)
1,-526
2,31